[1]
## Al2SiSn (PBE)

Data for an optimized crystal structure of Al2SiSn.

Cell lengths 3.8373, 3.8373, 6.9162 Å; angles 73.89, 73.89, 60.00 degrees
Last column: nearest neighbours and their distance in Å.
Atoms (fractional coordinates):
1 Al 0.2690 0.2690 0.1930  3 Si 2.55
2 Al 0.7310 0.7310 0.8070  3 Si 2.55
3 Sn 0.5000 0.5000 0.5000  6 Al 2.99
4 Si 0.0000 0.0000 0.0000  6 Al 2.55

ΔE to the lowest computed polymorph   0 meV/atom
Space group   R-3m (166)

***

[2]
## Al2SiSn (PBE)

Data for an optimized crystal structure of Al2SiSn.

Cell lengths 3.9188, 3.9188, 6.7982 Å; angles 73.25, 73.25, 60.00 degrees
Last column: nearest neighbours and their distance in Å.
Atoms (fractional coordinates):
1 Al 0.0636 0.0636 0.8093  3 Si 2.58
2 Al 0.2693 0.2693 0.1922  3 Si 2.57
3 Sn 0.5017 0.5017 0.4949  6 Al 2.98-3.03, 1 Si 3.15
4 Si 0.6655 0.6655 0.0036  6 Al 2.57-2.58

ΔE to the lowest computed polymorph   31 meV/atom
Space group   R3m (160)

***

[3]
## Al2SiSn (PBE)

Data for an optimized crystal structure of Al2SiSn.

Cell lengths 6.2282, 6.2282, 7.0562 Å; angles 63.81, 63.81, 90.00 degrees
Last column: nearest neighbours and their distance in Å.
Atoms (fractional coordinates):
1 Sn 0.7500 0.2500 0.5000  4 Al 2.76
2 Sn 0.0000 0.0000 0.0000  4 Al 2.76
3 Si 0.2500 0.7500 0.5000  4 Al 2.45
4 Si 0.5000 0.5000 0.0000  4 Al 2.45
5 Al 0.8750 0.8333 0.7500  2 Si 2.45
6 Al 0.5833 0.1250 0.2500  2 Si 2.45
7 Al 0.1667 0.6250 0.2500  2 Si 2.45
8 Al 0.3750 0.4167 0.7500  2 Si 2.45

ΔE to the lowest computed polymorph   158 meV/atom
Space group   I-42d (122)

***

[4]
## Al2SiSn (PBE)

Data for an optimized crystal structure of Al2SiSn.

Cell lengths 4.7776, 4.7776, 4.7776 Å; angles 60.00, 60.00, 60.00 degrees
Last column: nearest neighbours and their distance in Å.
Atoms (fractional coordinates):
1 Sn 0.5000 0.5000 0.5000  8 Al 2.93
2 Al 0.2500 0.2500 0.2500  4 Sn 2.93, 4 Si 2.93
3 Al 0.7500 0.7500 0.7500  4 Sn 2.93, 4 Si 2.93
4 Si 0.0000 0.0000 0.0000  8 Al 2.93

ΔE to the lowest computed polymorph   148 meV/atom
Space group   Fm-3m (225)

***

[5]
## AlSi3Sn (PBE)

Data for an optimized crystal structure of AlSi3Sn.

Cell lengths 4.7974, 4.7974, 4.7974 Å; angles 90.00, 90.00, 90.00 degrees
Last column: nearest neighbours and their distance in Å.
Atoms (fractional coordinates):
1 Si 0.0000 0.5000 0.0000  2 Al 2.40
2 Si 0.0000 0.0000 0.5000  2 Al 2.40
3 Si 0.5000 0.0000 0.0000  2 Al 2.40
4 Sn 0.5000 0.5000 0.5000  12 Si 3.39
5 Al 0.0000 0.0000 0.0000  6 Si 2.40

ΔE to the lowest computed polymorph   0 meV/atom
Space group   Pm-3m (221)

***

[6]
## Al2SiSn2 (PBE)

Data for an optimized crystal structure of Al2SiSn2.

Cell lengths 8.2009, 8.2009, 3.3132 Å; angles 90.00, 90.00, 90.00 degrees
Last column: nearest neighbours and their distance in Å.
Atoms (fractional coordinates):
1 Al 0.6209 0.8791 0.5000  1 Al 2.80, 6 Sn 2.87-2.99
2 Al 0.8791 0.3791 0.5000  1 Al 2.80, 6 Sn 2.87-2.99
3 Al 0.1209 0.6209 0.5000  1 Al 2.80, 6 Sn 2.87-2.99
4 Al 0.3791 0.1209 0.5000  1 Al 2.80, 6 Sn 2.87-2.99
5 Si 0.5000 0.5000 0.0000  4 Sn 3.02, 2 Si 3.31
6 Si 0.0000 0.0000 0.0000  4 Sn 3.02, 2 Si 3.31
7 Sn 0.3229 0.8229 0.0000  6 Al 2.87-2.99, 2 Si 3.02
8 Sn 0.8229 0.6771 0.0000  6 Al 2.87-2.99, 2 Si 3.02
9 Sn 0.1771 0.3229 0.0000  6 Al 2.87-2.99, 2 Si 3.02
10 Sn 0.6771 0.1771 0.0000  6 Al 2.87-2.99, 2 Si 3.02

ΔE to the lowest computed polymorph   161 meV/atom
Space group   P4/mbm (127)

***

[7]
## Al3SiSn (PBE)

Data for an optimized crystal structure of Al3SiSn.

Cell lengths 4.8175, 4.8175, 4.8175 Å; angles 90.00, 90.00, 90.00 degrees
Last column: nearest neighbours and their distance in Å.
Atoms (fractional coordinates):
1 Al 0.0000 0.0000 0.5000  2 Si 2.41
2 Al 0.5000 0.0000 0.0000  2 Si 2.41
3 Al 0.0000 0.5000 0.0000  2 Si 2.41
4 Sn 0.5000 0.5000 0.5000  12 Al 3.41
5 Si 0.0000 0.0000 0.0000  6 Al 2.41

ΔE to the lowest computed polymorph   0 meV/atom
Space group   Pm-3m (221)

***

[8]
## AlSi2SnW (PBE)

Data for an optimized crystal structure of AlSi2SnW.

Cell lengths 4.6186, 4.8952, 4.6186 Å; angles 90.00, 90.00, 90.00 degrees
Last column: nearest neighbours and their distance in Å.
Atoms (fractional coordinates):
1 Si 0.5000 0.0000 0.0000  2 Al 2.31
2 Si 0.0000 0.0000 0.5000  2 Al 2.31
3 Sn 0.5000 0.5000 0.5000  4 W 3.27, 8 Si 3.37
4 W 0.0000 0.5000 0.0000  2 Al 2.45
5 Al 0.0000 0.0000 0.0000  4 Si 2.31, 2 W 2.45

Space group   P4/mmm (123)

***

[9]
## AlZn2SiSn (PBE)

Data for an optimized crystal structure of AlZn2SiSn.

Cell lengths 4.8307, 4.9007, 4.8307 Å; angles 90.00, 90.00, 90.00 degrees
Last column: nearest neighbours and their distance in Å.
Atoms (fractional coordinates):
1 Zn 0.5000 0.0000 0.0000  2 Al 2.42
2 Zn 0.0000 0.0000 0.5000  2 Al 2.42
3 Al 0.0000 0.0000 0.0000  4 Zn 2.42, 2 Si 2.45
4 Sn 0.5000 0.5000 0.5000  4 Si 3.42, 8 Zn 3.44
5 Si 0.0000 0.5000 0.0000  2 Al 2.45

Space group   P4/mmm (123)

***

[10]
## ZrAlSi2Sn (PBE)

Data for an optimized crystal structure of ZrAlSi2Sn.

Cell lengths 5.0774, 5.2289, 5.0774 Å; angles 90.00, 90.00, 90.00 degrees
Last column: nearest neighbours and their distance in Å.
Atoms (fractional coordinates):
1 Si 0.0000 0.0000 0.5000  2 Zr 2.54
2 Si 0.5000 0.0000 0.0000  2 Zr 2.54
3 Zr 0.0000 0.0000 0.0000  4 Si 2.54, 2 Al 2.61
4 Sn 0.5000 0.5000 0.5000  4 Al 3.59, 8 Si 3.64
5 Al 0.0000 0.5000 0.0000  2 Zr 2.61

Space group   P4/mmm (123)

***

[11]
## SrAlSi2 (PBE)

Data for an optimized crystal structure of SrAlSi2.

Cell lengths 3.7511, 4.0541, 5.9880 Å; angles 89.98, 90.00, 90.00 degrees
Last column: nearest neighbours and their distance in Å.
Atoms (fractional coordinates):
1 Si 0.0000 0.1255 0.9209  2 Si 2.49, 4 Al 2.76
2 Si 0.5000 0.1247 0.1946  2 Si 2.49, 2 Al 2.60
3 Al 0.5000 0.6252 0.9217  6 Si 2.60-2.76
4 Sr 0.0000 0.6246 0.4628  6 Si 3.19-3.41, 2 Al 3.33

Space group   Pmm2 (25)

***

[12]
## SrAlSi2 (PBE)

Data for an optimized crystal structure of SrAlSi2.

Cell lengths 4.9806, 4.9806, 4.9806 Å; angles 60.00, 60.00, 60.00 degrees
Last column: nearest neighbours and their distance in Å.
Atoms (fractional coordinates):
1 Si 0.7500 0.7500 0.7500  4 Al 3.05, 4 Si 3.05
2 Si 0.0000 0.0000 0.0000  4 Si 3.05, 4 Sr 3.05
3 Al 0.5000 0.5000 0.5000  4 Sr 3.05, 4 Si 3.05
4 Sr 0.2500 0.2500 0.2500  4 Si 3.05, 4 Al 3.05

Space group   F-43m (216)

***

[13]
## SrAlSi3 (PBE)

Data for an optimized crystal structure of SrAlSi3.

Cell lengths 4.8770, 4.8770, 4.8770 Å; angles 90.00, 90.00, 90.00 degrees
Last column: nearest neighbours and their distance in Å.
Atoms (fractional coordinates):
1 Sr 0.5000 0.5000 0.5000  12 Si 3.45
2 Si 0.5000 0.0000 0.0000  2 Al 2.44
3 Si 0.0000 0.0000 0.5000  2 Al 2.44
4 Si 0.0000 0.5000 0.0000  2 Al 2.44
5 Al 0.0000 0.0000 0.0000  6 Si 2.44

Space group   Pm-3m (221)

***

no.,ρ (kg/m3),E_form (uncorrected) (kJ/mol of formula units)
1,3990,66
2,3910,78
3,3118,127
4,4323,123
5,3458,383
6,4762,192
7,3382,212
8,6134,624
9,4423,268
10,3610,342
11,3114,-64
12,3246,136
13,2847,166